## LiTb2HgAu4 (GGA-PBE)

Data for an optimized crystal structure of LiTb2HgAu4.

a b c (Å): 4.956 4.956 8.404
angles (deg): 72.85 72.85 60.00
Fractional coordinates of all 8 atoms:
Tb: 0.255 0.255 0.235
Li: 0.500 0.500 0.500
Tb: 0.745 0.745 0.765
Hg: 0.000 0.000 0.000
Au: 0.385 0.385 0.844
Au: 0.870 0.870 0.391
Au: 0.615 0.615 0.156
Au: 0.130 0.130 0.609

Computed properties:
* crystal system: trigonal
* formation energy: -671 meV/atom
* DOS(E_F): 0.691 states/eV per atom
* calculated volume: 21.01 Å³/atom

=====

## CsK2PaBr8 (GGA-PBE)

Data for an optimized crystal structure of CsK2PaBr8.

a b c (Å): 6.373 8.486 11.062
angles (deg): 77.13 82.31 96.62
Fractional coordinates of all 12 atoms:
Br: 0.467 0.743 0.538
Cs: 0.000 0.000 0.500
Br: 0.129 0.786 0.193
Br: 0.267 0.259 0.029
Br: 0.871 0.214 0.807
Br: 0.701 0.055 0.176
K: 0.432 0.388 0.706
Br: 0.533 0.257 0.462
Br: 0.299 0.945 0.824
Pa: 0.000 0.000 0.000
Br: 0.733 0.741 0.971
K: 0.568 0.612 0.294

Computed properties:
* formation energy (no corrections): -1822 kJ/mol of formula units
* crystal system: triclinic
* calculated volume: 47.62 Å³/atom

=====

## Ho12ScIn6 (GGA-PBE)

Data for an optimized crystal structure of Ho12ScIn6.

a b c (Å): 8.093 8.093 8.093
angles (deg): 88.77 88.77 88.77
Fractional coordinates of all 19 atoms:
In: 0.253 0.729 0.877
Ho: 0.380 0.072 0.127
Ho: 0.072 0.127 0.380
Ho: 0.873 0.620 0.928
Ho: 0.928 0.873 0.620
Ho: 0.127 0.380 0.072
In: 0.747 0.271 0.123
Ho: 0.806 0.525 0.440
In: 0.123 0.747 0.271
Ho: 0.194 0.475 0.560
Ho: 0.440 0.806 0.525
Ho: 0.475 0.560 0.194
Sc: 0.000 0.000 0.000
In: 0.729 0.877 0.253
In: 0.877 0.253 0.729
Ho: 0.560 0.194 0.475
Ho: 0.620 0.928 0.873
In: 0.271 0.123 0.747
Ho: 0.525 0.440 0.806

Computed properties:
* crystal system: trigonal
* formation energy: -210 meV/atom
* DOS(E_F): 1.140 states/eV per atom
* calculated volume: 27.88 Å³/atom

=====

> Which of these has the lowest calculated volume?

LiTb2HgAu4

=====

> Among the records above, which one has the lowest calculated volume?

LiTb2HgAu4

=====

> The highest calculated volume belongs to which entry?

CsK2PaBr8